# PrSn2Pt (PBE, relaxed)
data_PrSn2Pt
_chemical_formula_sum 'Pr4 Sn8 Pt4'
_cell_length_a 7.5145
_cell_length_b 4.6636
_cell_length_c 11.4737
_cell_angle_alpha 90.00
_cell_angle_beta 90.00
_cell_angle_gamma 90.00
_symmetry_space_group_name_H-M 'P n m a'
_symmetry_Int_Tables_number 62
loop_
_symmetry_equiv_pos_as_xyz
'x,y,z'
'-x,-y,-z'
'-x+1/2,-y,z+1/2'
'x+1/2,y,-z+1/2'
'x+1/2,-y+1/2,-z+1/2'
'-x+1/2,y+1/2,z+1/2'
'-x,y+1/2,-z'
'x,-y+1/2,z'
loop_
_atom_site_label
_atom_site_fract_x
_atom_site_fract_y
_atom_site_fract_z
_atom_site_occupancy
Pr1 0.2038 0.2500 0.1467 1
Sn1 0.1179 0.2500 0.8601 1
Sn2 0.1541 0.2500 0.4397 1
Pt1 0.0096 0.7500 0.3525 1
# raw total energy = -5.49 eV per atom